Dy3Mn5O12 after structural relaxation, computed with PBE with a Hubbard U.

Geometry as CIF:
```
data_Dy3Mn5O12
_chemical_formula_sum 'Dy24 Mn40 O96'
_cell_length_a 12.5540
_cell_length_b 12.5540
_cell_length_c 12.5540
_cell_angle_alpha 90.00
_cell_angle_beta 90.00
_cell_angle_gamma 90.00
_space_group_name_H-M_alt 'I a -3 d'
_space_group_IT_number 230
_space_group_name_Hall '-I 4bd 2c 3'
loop_
_atom_site_label
_atom_site_type_symbol
_atom_site_fract_x
_atom_site_fract_y
_atom_site_fract_z
Dy1 Dy 0.0000 0.2500 0.1250
Mn1 Mn 0.0000 0.0000 0.0000
Mn2 Mn 0.0000 0.2500 0.3750
O1 O 0.0224 0.0553 0.6478
```

Output
E, hartree per atom: -0.2870